# 1
{
  "formula": "VAs2W",
  "functional": "PBE-GGA",
  "state": "relaxed",
  "lattice": [[-2.9120, 2.9120, 5.4900], [2.9120, -2.9120, 5.4900], [2.9120, 2.9120, -5.4900]],
  "species": ["V", "V", "As", "As", "As", "As", "W", "W"],
  "frac_coords": [[0.0000, 0.0000, 0.0000], [0.7500, 0.2500, 0.5000], [0.1290, 0.6250, 0.0040], [0.3750, 0.3790, 0.5040], [0.6210, 0.1250, 0.9960], [0.8750, 0.8710, 0.4960], [0.2500, 0.7500, 0.5000], [0.5000, 0.5000, 0.0000]],
  "dft_energy_ev_per_atom": -7.265,
  "de_polymorph_mev_per_atom": 563,
  "ef_kj_per_mol_fu": 223
}

# 2
{
  "formula": "VAs2W",
  "functional": "PBE-GGA",
  "state": "relaxed",
  "lattice": [[0.0000, 3.1136, 3.1136], [3.1136, 0.0000, 3.1136], [3.1136, 3.1136, 0.0000]],
  "species": ["V", "As", "As", "W"],
  "frac_coords": [[0.0000, 0.0000, 0.0000], [0.2500, 0.2500, 0.2500], [0.7500, 0.7500, 0.7500], [0.5000, 0.5000, 0.5000]],
  "dft_energy_ev_per_atom": -7.828,
  "de_polymorph_mev_per_atom": 0,
  "ef_kj_per_mol_fu": 6
}

# 3
{
  "formula": "VAsW",
  "functional": "PBE-GGA",
  "state": "relaxed",
  "lattice": [[5.1161, -1.5328, 0.0000], [5.1161, 1.5328, 0.0000], [-2.6798, 0.0000, 5.9273]],
  "species": ["V", "V", "As", "As", "W", "W"],
  "frac_coords": [[0.0610, 0.0610, 0.3156], [0.9390, 0.9390, 0.6844], [0.3440, 0.3440, 0.3358], [0.6560, 0.6560, 0.6642], [0.3616, 0.3616, 0.9479], [0.6384, 0.6384, 0.0521]],
  "dft_energy_ev_per_atom": -8.895,
  "de_polymorph_mev_per_atom": 0,
  "ef_kj_per_mol_fu": 3
}

# 4
{
  "formula": "V2As4W",
  "functional": "PBE-GGA",
  "state": "relaxed",
  "lattice": [[7.0184, -1.6141, 0.0000], [7.0184, 1.6141, 0.0000], [-2.3776, 0.0000, 5.4168]],
  "species": ["V", "V", "As", "As", "As", "As", "W"],
  "frac_coords": [[0.2500, 0.2500, 0.2445], [0.7500, 0.7500, 0.7555], [0.1267, 0.1267, 0.7947], [0.3794, 0.3794, 0.6815], [0.6206, 0.6206, 0.3185], [0.8733, 0.8733, 0.2053], [0.0000, 0.0000, 0.0000]],
  "dft_energy_ev_per_atom": -7.298,
  "ef_kj_per_mol_fu": -125
}

# 5
{
  "formula": "YV2As2",
  "functional": "PBE-GGA",
  "state": "relaxed",
  "lattice": [[-1.8891, 1.8891, 6.2868], [1.8891, -1.8891, 6.2868], [1.8891, 1.8891, -6.2868]],
  "species": ["Y", "V", "V", "As", "As"],
  "frac_coords": [[0.0000, 0.0000, 0.0000], [0.2500, 0.7500, 0.5000], [0.7500, 0.2500, 0.5000], [0.3809, 0.3809, 0.0000], [0.6191, 0.6191, 0.0000]],
  "dft_energy_ev_per_atom": -7.526,
  "de_polymorph_mev_per_atom": 0,
  "ef_kj_per_mol_fu": -350
}

# 6
{
  "formula": "YV2As2",
  "functional": "PBE-GGA",
  "state": "relaxed",
  "lattice": [[-2.3692, 2.3692, 4.0477], [2.3692, -2.3692, 4.0477], [2.3692, 2.3692, -4.0477]],
  "species": ["Y", "V", "V", "As", "As"],
  "frac_coords": [[0.0000, 0.0000, 0.0000], [0.3797, 0.3797, 0.0000], [0.6203, 0.6203, 0.0000], [0.2500, 0.7500, 0.5000], [0.7500, 0.2500, 0.5000]],
  "dft_energy_ev_per_atom": -7.305,
  "de_polymorph_mev_per_atom": 221,
  "ef_kj_per_mol_fu": -244
}